Entry 1:
Pm2DyAg, optimized geometry, DFT PBE; relative energy among the computed polymorphs = 0.375 eV/atom; energy relative to the elements = 98 kJ/mol of formula units; N(E_F) = 5.08 states/eV per cell; spin magnetization = 0.00 μB per cell; VASP energy = -3.99 eV/atom
1.0
-1.374 -1.922 -2.558
-0.750 -3.355 0.554
-11.590 1.263 2.909
Pm Dy Ag
2 1 1
Cartesian
-8.805 0.489 1.993 Pm
-4.909 -4.504 -1.089 Pm
-6.857 -2.007 0.452 Dy
0.000 0.000 0.000 Ag

=====

Entry 2:
PmScPdRh, optimized geometry, DFT PBE; energy relative to the elements = -299 kJ/mol of formula units; N(E_F) = 2.27 states/eV per cell; spin magnetization = 0.00 μB per cell; VASP energy = -6.68 eV/atom
1.0
4.843 0.000 0.000
2.421 4.194 0.000
2.421 1.398 3.954
Sc Pd Pm Rh
1 1 1 1
Cartesian
0.000 0.000 0.000 Sc
7.264 4.194 2.966 Pd
4.843 2.796 1.977 Pm
2.421 1.398 0.989 Rh

=====

Entry 3:
BSe2O, optimized geometry, DFT PBE; relative energy among the computed polymorphs = 0.315 eV/atom; N(E_F) = 2.92 states/eV per cell; spin magnetization = 0.00 μB per cell; VASP energy = -3.90 eV/atom
1.0
2.233 0.000 6.260
-1.117 1.934 6.260
-1.117 -1.934 6.260
O Se B
1 2 1
Cartesian
0.000 0.000 9.390 O
0.000 0.000 1.822 Se
0.000 0.000 16.959 Se
0.000 0.000 0.000 B

=====

Entry 4:
CsAlFeRu2, optimized geometry, DFT PBE; energy relative to the elements = 647 kJ/mol of formula units; N(E_F) = 7.63 states/eV per cell; spin magnetization = 5.39 μB per cell; VASP energy = -4.98 eV/atom
1.0
-4.268 1.834 1.043
0.930 -0.480 4.650
1.894 4.367 0.072
Ru Fe Al Cs
2 1 1 1
Cartesian
-2.134 0.917 0.521 Ru
0.947 2.183 0.036 Ru
0.465 -0.240 2.325 Fe
0.000 0.000 0.000 Al
-0.722 2.860 2.882 Cs

=====

Entry 5:
Tm2MgTl, optimized geometry, DFT PBE; relative energy among the computed polymorphs = 0.001 eV/atom; energy relative to the elements = -79 kJ/mol of formula units; N(E_F) = 2.91 states/eV per cell; spin magnetization = 0.00 μB per cell; VASP energy = -3.43 eV/atom
1.0
3.785 0.000 0.000
0.000 3.785 0.000
0.000 0.000 7.299
Tm Tl Mg
2 1 1
Cartesian
0.000 0.000 5.440 Tm
0.000 0.000 1.859 Tm
1.892 1.892 0.000 Tl
1.892 1.892 3.649 Mg

=====

Entry 6:
SrAc2P3Pd12, optimized geometry, DFT PBE; energy relative to the elements = -759 kJ/mol of formula units; N(E_F) = 5.51 states/eV per cell; spin magnetization = 0.00 μB per cell; VASP energy = -5.35 eV/atom
1.0
7.414 -0.787 -0.558
2.977 6.835 -0.558
2.977 1.733 6.635
Pd P Ac Sr
12 3 2 1
Cartesian
5.089 5.910 4.192 Pd
7.652 1.506 4.192 Pd
3.392 4.338 0.572 Pd
3.392 1.974 3.904 Pd
5.715 3.327 5.483 Pd
9.976 5.807 1.615 Pd
5.715 6.275 1.327 Pd
7.921 6.974 4.947 Pd
5.447 0.807 0.572 Pd
8.279 1.871 1.327 Pd
7.652 4.454 0.036 Pd
9.976 3.443 4.947 Pd
1.488 0.866 3.318 P
3.707 -0.393 -0.279 P
1.488 3.418 -0.279 P
8.124 4.729 3.354 Ac
5.244 3.052 2.165 Ac
0.000 0.000 0.000 Sr